# 1
# MgCdSeO (PBE, relaxed)
# energy relative to the lowest polymorph listed for this composition: 0.272 eV/atom
# mass density: 5.44 g/cm3
data_MgCdSeO
_chemical_formula_sum 'Mg4 Cd4 Se4 O4'
_cell_length_a 2.8522
_cell_length_b 17.6913
_cell_length_c 5.6080
_cell_angle_alpha 90.00
_cell_angle_beta 90.00
_cell_angle_gamma 90.00
_symmetry_space_group_name_H-M 'C m c m'
_symmetry_Int_Tables_number 63
_symmetry_space_group_name_Hall '-C 2c 2'
loop_
_atom_site_label
_atom_site_fract_x
_atom_site_fract_y
_atom_site_fract_z
_atom_site_occupancy
Mg1 0.0000 0.0127 0.2500 1
Cd1 0.0000 0.3298 0.2500 1
Se1 0.0000 0.3234 0.7500 1
O1 0.0000 0.5000 0.0000 1

# 2
# Ho2Sc2CIBr2Cl2 (PBE, relaxed)
# energy relative to the lowest polymorph listed for this composition: 0.020 eV/atom
# mass density: 5.23 g/cm3
# spin magnetization: 0.39 μB per cell
data_Ho2Sc2CIBr2Cl2
_chemical_formula_sum 'Ho4 Sc4 C2 I2 Br4 Cl4'
_cell_length_a 17.1788
_cell_length_b 3.7309
_cell_length_c 8.0216
_cell_angle_alpha 90.00
_cell_angle_beta 102.94
_cell_angle_gamma 90.00
_symmetry_space_group_name_H-M 'C 1 2/m 1'
_symmetry_Int_Tables_number 12
_symmetry_space_group_name_Hall '-C 2y'
loop_
_atom_site_label
_atom_site_fract_x
_atom_site_fract_y
_atom_site_fract_z
_atom_site_occupancy
Ho1 0.1397 0.0000 0.0730 1
Sc1 0.0004 0.5000 0.1850 1
C1 0.0000 0.0000 0.0000 1
I1 0.0000 0.0000 0.5000 1
Br1 0.1685 0.5000 0.8234 1
Cl1 0.1564 0.5000 0.3186 1

# 3
# PmThSn (PBE, relaxed)
# energy relative to the lowest polymorph listed for this composition: 0.000 eV/atom
# mass density: 8.02 g/cm3
# spin magnetization: 0.01 μB per cell
data_PmThSn
_chemical_formula_sum 'Pm4 Th4 Sn4'
_cell_length_a 7.4315
_cell_length_b 7.4315
_cell_length_c 7.4315
_cell_angle_alpha 90.00
_cell_angle_beta 90.00
_cell_angle_gamma 90.00
_symmetry_space_group_name_H-M 'F -4 3 m'
_symmetry_Int_Tables_number 216
_symmetry_space_group_name_Hall 'F -4 2 3'
loop_
_atom_site_label
_atom_site_fract_x
_atom_site_fract_y
_atom_site_fract_z
_atom_site_occupancy
Pm1 0.0000 0.0000 0.0000 1
Th1 0.0000 0.0000 0.5000 1
Sn1 0.2500 0.2500 0.2500 1

# 4
# ThZn (PBE, relaxed)
# mass density: 10.00 g/cm3
# energy of formation from the pure elements: 23 meV/atom
# spin magnetization: 0.01 μB per cell
data_ThZn
_chemical_formula_sum 'Th6 Zn6'
_cell_length_a 6.8625
_cell_length_b 5.2148
_cell_length_c 8.2982
_cell_angle_alpha 90.00
_cell_angle_beta 94.10
_cell_angle_gamma 90.00
_symmetry_space_group_name_H-M 'P 1 21/m 1'
_symmetry_Int_Tables_number 11
_symmetry_space_group_name_Hall '-P 2yb'
loop_
_atom_site_label
_atom_site_fract_x
_atom_site_fract_y
_atom_site_fract_z
_atom_site_occupancy
Th1 0.1300 0.2500 0.1600 1
Th2 0.2090 0.2500 0.7178 1
Th3 0.3652 0.7500 0.9237 1
Zn1 0.1222 0.7500 0.5354 1
Zn2 0.3337 0.7500 0.2912 1
Zn3 0.4881 0.2500 0.4225 1

# 5
# PPdPbO (PBE, relaxed)
# energy relative to the lowest polymorph listed for this composition: 0.431 eV/atom
# mass density: 7.63 g/cm3
data_PPdPbO
_chemical_formula_sum 'P2 Pd2 Pb2 O2'
_cell_length_a 3.7986
_cell_length_b 6.8826
_cell_length_c 6.0069
_cell_angle_alpha 90.00
_cell_angle_beta 90.00
_cell_angle_gamma 90.00
_symmetry_space_group_name_H-M 'P m c 21'
_symmetry_Int_Tables_number 26
_symmetry_space_group_name_Hall 'P 2c -2'
loop_
_atom_site_label
_atom_site_fract_x
_atom_site_fract_y
_atom_site_fract_z
_atom_site_occupancy
P1 0.0000 0.0757 0.0000 1
Pd1 0.0000 0.2179 0.6603 1
Pb1 0.5000 0.2928 0.2522 1
O1 0.5000 0.4097 0.6169 1

# 6
# ZrH3 (PBE, relaxed)
# mass density: 5.56 g/cm3
# calculated total energy: -5.0049 eV/atom
# spin magnetization: 0.00 μB per cell
data_ZrH3
_chemical_formula_sum 'Zr6 H18'
_cell_length_a 5.4152
_cell_length_b 5.4152
_cell_length_c 6.6509
_cell_angle_alpha 90.00
_cell_angle_beta 90.00
_cell_angle_gamma 120.00
_symmetry_space_group_name_H-M 'R -3 c'
_symmetry_Int_Tables_number 167
_symmetry_space_group_name_Hall '-R 3 2"c'
loop_
_atom_site_label
_atom_site_fract_x
_atom_site_fract_y
_atom_site_fract_z
_atom_site_occupancy
Zr1 0.0000 0.0000 0.0000 1
H1 0.0000 0.2489 0.2500 1

# 7
# Nb2Au2O5 (PBE, relaxed)
# energy relative to the lowest polymorph listed for this composition: 0.552 eV/atom
# mass density: 9.57 g/cm3
# spin magnetization: 0.45 μB per cell
data_Nb2Au2O5
_chemical_formula_sum 'Nb2 Au2 O5'
_cell_length_a 3.3315
_cell_length_b 3.3315
_cell_length_c 10.3107
_cell_angle_alpha 90.00
_cell_angle_beta 90.00
_cell_angle_gamma 90.00
_symmetry_space_group_name_H-M 'P 4/m m m'
_symmetry_Int_Tables_number 123
_symmetry_space_group_name_Hall '-P 4 2'
loop_
_atom_site_label
_atom_site_fract_x
_atom_site_fract_y
_atom_site_fract_z
_atom_site_occupancy
Nb1 0.0000 0.0000 0.0000 1
Nb2 0.0000 0.0000 0.5000 1
Au1 0.5000 0.5000 0.2171 1
O1 0.0000 0.5000 0.3800 1
O2 0.5000 0.5000 0.0000 1

# 8
# Er3Cu2Si4 (PBE, relaxed)
# mass density: 7.45 g/cm3
# calculated total energy: -5.4684 eV/atom
# spin magnetization: 0.04 μB per cell
data_Er3Cu2Si4
_chemical_formula_sum 'Er6 Cu4 Si8'
_cell_length_a 10.4945
_cell_length_b 4.0370
_cell_length_c 7.9633
_cell_angle_alpha 90.00
_cell_angle_beta 101.83
_cell_angle_gamma 90.00
_symmetry_space_group_name_H-M 'C 1 2/m 1'
_symmetry_Int_Tables_number 12
_symmetry_space_group_name_Hall '-C 2y'
loop_
_atom_site_label
_atom_site_fract_x
_atom_site_fract_y
_atom_site_fract_z
_atom_site_occupancy
Er1 0.0000 0.0000 0.0000 1
Er2 0.1618 0.5000 0.6684 1
Cu1 0.1125 0.5000 0.2826 1
Si1 0.0595 0.0000 0.3882 1
Si2 0.2176 0.5000 0.0590 1

# 9
# RbErSO (PBE, relaxed)
# energy relative to the lowest polymorph listed for this composition: 0.113 eV/atom
# mass density: 5.90 g/cm3
# spin magnetization: 0.01 μB per cell
data_RbErSO
_chemical_formula_sum 'Rb2 Er2 S2 O2'
_cell_length_a 3.6997
_cell_length_b 3.6997
_cell_length_c 14.2943
_cell_angle_alpha 90.00
_cell_angle_beta 90.00
_cell_angle_gamma 120.00
_symmetry_space_group_name_H-M 'P -3 m 1'
_symmetry_Int_Tables_number 164
_symmetry_space_group_name_Hall '-P 3 2"'
loop_
_atom_site_label
_atom_site_fract_x
_atom_site_fract_y
_atom_site_fract_z
_atom_site_occupancy
Rb1 0.3333 0.6667 0.2787 1
Er1 0.0000 0.0000 0.0000 1
Er2 0.0000 0.0000 0.5000 1
S1 0.3333 0.6667 0.8888 1
O1 0.3333 0.6667 0.5744 1

# 10
# NaNi2 (PBE, relaxed)
# mass density: 5.57 g/cm3
# calculated total energy: -3.9004 eV/atom
# spin magnetization: 3.83 μB per cell
data_NaNi2
_chemical_formula_sum 'Na8 Ni16'
_cell_length_a 4.9032
_cell_length_b 4.9032
_cell_length_c 16.0704
_cell_angle_alpha 90.00
_cell_angle_beta 90.00
_cell_angle_gamma 120.00
_symmetry_space_group_name_H-M 'P 63/m m c'
_symmetry_Int_Tables_number 194
_symmetry_space_group_name_Hall '-P 6c 2c'
loop_
_atom_site_label
_atom_site_fract_x
_atom_site_fract_y
_atom_site_fract_z
_atom_site_occupancy
Na1 0.0000 0.0000 0.0930 1
Na2 0.3333 0.6667 0.1559 1
Ni1 0.0000 0.5000 0.0000 1
Ni2 0.1672 0.3343 0.7500 1
Ni3 0.3333 0.6667 0.6239 1

# 11
# NbI5 (PBE, relaxed)
# energy relative to the lowest polymorph listed for this composition: 0.003 eV/atom
# mass density: 3.73 g/cm3
# spin magnetization: 0.01 μB per cell
data_NbI5
_chemical_formula_sum 'Nb2 I10'
_cell_length_a 8.8489
_cell_length_b 8.8489
_cell_length_c 9.5464
_cell_angle_alpha 90.00
_cell_angle_beta 90.00
_cell_angle_gamma 120.00
_symmetry_space_group_name_H-M 'P 63/m m c'
_symmetry_Int_Tables_number 194
_symmetry_space_group_name_Hall '-P 6c 2c'
loop_
_atom_site_label
_atom_site_fract_x
_atom_site_fract_y
_atom_site_fract_z
_atom_site_occupancy
Nb1 0.3333 0.6667 0.2500 1
I1 0.1590 0.3181 0.2500 1
I2 0.3333 0.6667 0.5355 1

# 12
# CsCuTcIr (PBE, relaxed)
# energy relative to the lowest polymorph listed for this composition: 0.262 eV/atom
# mass density: 10.91 g/cm3
# spin magnetization: 10.25 μB per cell
data_CsCuTcIr
_chemical_formula_sum 'Cs4 Cu4 Tc4 Ir4'
_cell_length_a 6.6667
_cell_length_b 6.6667
_cell_length_c 6.6667
_cell_angle_alpha 90.00
_cell_angle_beta 90.00
_cell_angle_gamma 90.00
_symmetry_space_group_name_H-M 'F -4 3 m'
_symmetry_Int_Tables_number 216
_symmetry_space_group_name_Hall 'F -4 2 3'
loop_
_atom_site_label
_atom_site_fract_x
_atom_site_fract_y
_atom_site_fract_z
_atom_site_occupancy
Cs1 0.0000 0.0000 0.0000 1
Cu1 0.0000 0.0000 0.5000 1
Tc1 0.2500 0.2500 0.7500 1
Ir1 0.2500 0.2500 0.2500 1

# 13
# YNbGaNi (PBE, relaxed)
# mass density: 7.08 g/cm3
# calculated total energy: -6.1667 eV/atom
# spin magnetization: 11.94 μB per cell
data_YNbGaNi
_chemical_formula_sum 'Y4 Nb4 Ga4 Ni4'
_cell_length_a 6.6278
_cell_length_b 6.6278
_cell_length_c 6.6278
_cell_angle_alpha 90.00
_cell_angle_beta 90.00
_cell_angle_gamma 90.00
_symmetry_space_group_name_H-M 'F -4 3 m'
_symmetry_Int_Tables_number 216
_symmetry_space_group_name_Hall 'F -4 2 3'
loop_
_atom_site_label
_atom_site_fract_x
_atom_site_fract_y
_atom_site_fract_z
_atom_site_occupancy
Y1 0.0000 0.0000 0.0000 1
Nb1 0.2500 0.2500 0.2500 1
Ga1 0.0000 0.0000 0.5000 1
Ni1 0.2500 0.2500 0.7500 1

# 14
# Hf2FeSi (PBE, relaxed)
# mass density: 11.50 g/cm3
# calculated total energy: -8.3429 eV/atom
# spin magnetization: 5.13 μB per cell
data_Hf2FeSi
_chemical_formula_sum 'Hf8 Fe4 Si4'
_cell_length_a 6.3377
_cell_length_b 6.3377
_cell_length_c 6.3377
_cell_angle_alpha 90.00
_cell_angle_beta 90.00
_cell_angle_gamma 90.00
_symmetry_space_group_name_H-M 'F -4 3 m'
_symmetry_Int_Tables_number 216
_symmetry_space_group_name_Hall 'F -4 2 3'
loop_
_atom_site_label
_atom_site_fract_x
_atom_site_fract_y
_atom_site_fract_z
_atom_site_occupancy
Hf1 0.0000 0.0000 0.0000 1
Hf2 0.2500 0.2500 0.2500 1
Fe1 0.2500 0.2500 0.7500 1
Si1 0.0000 0.0000 0.5000 1

# 15
# DyErAl2Pt4 (PBE, relaxed)
# mass density: 12.90 g/cm3
# calculated total energy: -6.3086 eV/atom
# spin magnetization: 0.00 μB per cell
data_DyErAl2Pt4
_chemical_formula_sum 'Dy1 Er1 Al2 Pt4'
_cell_length_a 4.3351
_cell_length_b 4.3351
_cell_length_c 9.2051
_cell_angle_alpha 90.00
_cell_angle_beta 90.00
_cell_angle_gamma 120.00
_symmetry_space_group_name_H-M 'P -6 m 2'
_symmetry_Int_Tables_number 187
_symmetry_space_group_name_Hall 'P -6 2'
loop_
_atom_site_label
_atom_site_fract_x
_atom_site_fract_y
_atom_site_fract_z
_atom_site_occupancy
Dy1 0.0000 0.0000 0.0000 1
Er1 0.6667 0.3333 0.5000 1
Al1 0.3333 0.6667 0.2507 1
Pt1 0.0000 0.0000 0.3360 1
Pt2 0.6667 0.3333 0.1674 1

# 16
# KOsBr6 (PBE, relaxed)
# mass density: 4.36 g/cm3
# calculated total energy: -3.3120 eV/atom
# spin magnetization: 9.00 μB per cell
data_KOsBr6
_chemical_formula_sum 'K3 Os3 Br18'
_cell_length_a 10.3782
_cell_length_b 10.3782
_cell_length_c 8.6825
_cell_angle_alpha 90.00
_cell_angle_beta 90.00
_cell_angle_gamma 120.00
_symmetry_space_group_name_H-M 'R -3'
_symmetry_Int_Tables_number 148
_symmetry_space_group_name_Hall '-R 3'
loop_
_atom_site_label
_atom_site_fract_x
_atom_site_fract_y
_atom_site_fract_z
_atom_site_occupancy
K1 0.0000 0.0000 0.0000 1
Os1 0.0000 0.0000 0.5000 1
Br1 0.0703 0.2208 0.6658 1

# 17
# HoZrBi (PBE, relaxed)
# mass density: 8.75 g/cm3
# calculated total energy: -5.7559 eV/atom
# spin magnetization: 3.72 μB per cell
data_HoZrBi
_chemical_formula_sum 'Ho4 Zr4 Bi4'
_cell_length_a 7.0691
_cell_length_b 7.0691
_cell_length_c 7.0691
_cell_angle_alpha 90.00
_cell_angle_beta 90.00
_cell_angle_gamma 90.00
_symmetry_space_group_name_H-M 'F -4 3 m'
_symmetry_Int_Tables_number 216
_symmetry_space_group_name_Hall 'F -4 2 3'
loop_
_atom_site_label
_atom_site_fract_x
_atom_site_fract_y
_atom_site_fract_z
_atom_site_occupancy
Ho1 0.0000 0.0000 0.0000 1
Zr1 0.0000 0.0000 0.5000 1
Bi1 0.2500 0.2500 0.2500 1

# 18
# AcNbPt (PBE, relaxed)
# energy relative to the lowest polymorph listed for this composition: 0.000 eV/atom
# mass density: 10.20 g/cm3
# energy of formation from the pure elements: 187 meV/atom
# spin magnetization: 11.03 μB per cell
data_AcNbPt
_chemical_formula_sum 'Ac4 Nb4 Pt4'
_cell_length_a 6.9481
_cell_length_b 6.9481
_cell_length_c 6.9481
_cell_angle_alpha 90.00
_cell_angle_beta 90.00
_cell_angle_gamma 90.00
_symmetry_space_group_name_H-M 'F -4 3 m'
_symmetry_Int_Tables_number 216
_symmetry_space_group_name_Hall 'F -4 2 3'
loop_
_atom_site_label
_atom_site_fract_x
_atom_site_fract_y
_atom_site_fract_z
_atom_site_occupancy
Ac1 0.0000 0.0000 0.0000 1
Nb1 0.0000 0.0000 0.5000 1
Pt1 0.2500 0.2500 0.2500 1

# 19
# LiScNiAs (PBE, relaxed)
# energy relative to the lowest polymorph listed for this composition: 0.138 eV/atom
# mass density: 5.33 g/cm3
# spin magnetization: 1.13 μB per cell
data_LiScNiAs
_chemical_formula_sum 'Li4 Sc4 Ni4 As4'
_cell_length_a 6.1358
_cell_length_b 6.1358
_cell_length_c 6.1358
_cell_angle_alpha 90.00
_cell_angle_beta 90.00
_cell_angle_gamma 90.00
_symmetry_space_group_name_H-M 'F -4 3 m'
_symmetry_Int_Tables_number 216
_symmetry_space_group_name_Hall 'F -4 2 3'
loop_
_atom_site_label
_atom_site_fract_x
_atom_site_fract_y
_atom_site_fract_z
_atom_site_occupancy
Li1 0.0000 0.0000 0.0000 1
Sc1 0.2500 0.2500 0.2500 1
Ni1 0.2500 0.2500 0.7500 1
As1 0.0000 0.0000 0.5000 1

# 20
# TbCdB (PBE, relaxed)
# energy relative to the lowest polymorph listed for this composition: 0.000 eV/atom
# mass density: 8.08 g/cm3
# spin magnetization: 0.00 μB per cell
data_TbCdB
_chemical_formula_sum 'Tb4 Cd4 B4'
_cell_length_a 6.1440
_cell_length_b 6.1440
_cell_length_c 6.1440
_cell_angle_alpha 90.00
_cell_angle_beta 90.00
_cell_angle_gamma 90.00
_symmetry_space_group_name_H-M 'F -4 3 m'
_symmetry_Int_Tables_number 216
_symmetry_space_group_name_Hall 'F -4 2 3'
loop_
_atom_site_label
_atom_site_fract_x
_atom_site_fract_y
_atom_site_fract_z
_atom_site_occupancy
Tb1 0.0000 0.0000 0.0000 1
Cd1 0.0000 0.0000 0.5000 1
B1 0.2500 0.2500 0.7500 1